GGA-PBE Dy2Er4Sc, relaxed; total energy = -4.68 eV per atom; energy relative to the lowest polymorph listed for this composition = 0 meV/atom; V = 422.44 Å³ per cell; E_form = 0.145 eV per atom; total magnetization = 0.0 μB/cell; SG = No. 11
1.0
5.996 0.000 -0.316
0.000 6.449 0.000
-2.384 0.000 11.050
Er Dy Sc
8 4 2
Cartesian
3.176 3.242 2.974 Er
0.436 3.207 7.760 Er
-0.160 4.837 4.787 Er
0.436 0.018 7.760 Er
5.514 1.612 1.195 Er
3.176 6.431 2.974 Er
-1.902 4.837 9.538 Er
3.772 1.612 5.947 Er
3.655 4.837 -0.163 Dy
-0.043 1.612 10.897 Dy
2.927 4.837 6.109 Dy
0.685 1.612 4.625 Dy
3.049 1.612 9.019 Sc
0.562 4.837 1.715 Sc


GGA-PBE Rb2CaS2, relaxed; total energy = -3.02 eV per atom; energy relative to the lowest polymorph listed for this composition = 504 meV/atom; V = 167.10 Å³ per cell; total magnetization = 0.0 μB/cell; SG = No. 139; formation energy without anion corrections = -0.58 eV per atom
1.0
5.855 0.000 0.000
0.000 5.855 0.000
2.927 2.927 4.875
S Rb Ca
2 2 1
Cartesian
5.855 2.927 2.437 S
2.927 5.855 2.437 S
2.927 2.927 1.497 Rb
5.855 5.855 3.378 Rb
0.000 0.000 0.000 Ca


GGA-PBE Sc3Te, relaxed; total energy = -5.97 eV per atom; energy relative to the lowest polymorph listed for this composition = 162 meV/atom; V = 94.27 Å³ per cell; total magnetization = 0.0 μB/cell; SG = No. 71; formation energy without anion corrections = -0.44 eV per atom
1.0
-1.847 -2.838 4.924
-3.891 -4.484 -0.679
5.405 1.958 -1.632
Sc Te
3 1
Cartesian
-2.778 -3.544 2.054 Sc
-0.091 -0.117 0.068 Sc
0.344 -2.270 2.707 Sc
-0.678 -3.093 -0.095 Te


Table of DOS(E_F) (states/eV per cell), in record order: 24.06, 0.00, 5.52